The following is a DFT calculation (PBE) of crystalline KBa2Ag at its relaxed geometry.

a = 4.532 Å, b = 7.061 Å, c = 13.028 Å
α = 90.00°, β = 90.00°, γ = 90.00°
Space group Immm (No. 71)
Unique sites:
K: 0.000 0.000 0.000 [2 per cell]
Ba: 0.000 0.500 0.189 [4 per cell]
Ag: 0.000 0.000 0.500 [2 per cell]

Excess energy over the best structure of this formula in the dataset   125 meV/atom
Uncorrected energy   -1.922 eV per atom

***

The following is a DFT calculation (PBE) of crystalline K2BaAg2 at its relaxed geometry.

a = 8.680 Å, b = 8.680 Å, c = 5.374 Å
α = 90.00°, β = 90.00°, γ = 90.00°
Space group P4/mbm (No. 127)
Unique sites:
K: 0.161 0.339 0.000 [4 per cell]
Ba: 0.000 0.000 0.500 [2 per cell]
Ag: 0.116 0.616 0.500 [4 per cell]

Excess energy over the best structure of this formula in the dataset   12 meV/atom
Uncorrected energy   -1.960 eV per atom

***

The following is a DFT calculation (PBE) of crystalline KBaAg5 at its relaxed geometry.

a = 9.982 Å, b = 5.799 Å, c = 12.641 Å
α = 90.00°, β = 90.00°, γ = 90.00°
Space group Pnma (No. 62)
Unique sites:
K: 0.132 0.250 0.132 [4 per cell]
Ba: 0.247 0.750 0.934 [4 per cell]
Ag: 0.045 0.250 0.874 [4 per cell]
Ag: 0.069 0.000 0.680 [8 per cell]
Ag: 0.070 0.750 0.484 [4 per cell]
Ag: 0.193 0.750 0.271 [4 per cell]

Uncorrected energy   -2.549 eV per atom

***

The following is a DFT calculation (PBE) of crystalline K2BaAg9 at its relaxed geometry.

a = 5.8599 Å, b = 5.8599 Å, c = 29.2542 Å
α = 90.00°, β = 90.00°, γ = 120.00°
Space group R-3m (No. 166, hexagonal axes)
Unique sites:
K: 0.0000 0.0000 0.1449 [6 per cell]
Ba: 0.0000 0.0000 0.0000 [3 per cell]
Ag: 0.0000 0.0000 0.3319 [6 per cell]
Ag: 0.0000 0.0000 0.5000 [3 per cell]
Ag: 0.0031 0.5016 0.0809 [18 per cell]

Uncorrected energy   -2.551 eV per atom